VASP calculation (PBE) on Y5Cu2Pt after structural relaxation.

Geometry as POSCAR:
```
Y5Cu2Pt
1.0
-4.784 5.105 -1.123
1.467 -0.151 -6.931
-3.818 -7.839 2.985
Cu Y Pt
4 10 2
Cartesian
-2.796 3.155 -1.542 Cu
-0.027 0.564 -2.759 Cu
-0.522 1.799 -6.513 Cu
-3.290 4.390 -5.295 Cu
-3.658 1.707 -6.795 Y
0.000 0.000 0.000 Y
-1.489 -0.823 -5.180 Y
-2.018 -5.442 -1.570 Y
-2.948 0.028 -1.886 Y
-4.187 -2.912 -3.184 Y
-5.118 2.557 -3.500 Y
-3.478 -4.591 1.725 Y
-1.659 2.477 -4.027 Y
-5.647 -2.062 0.111 Y
-2.738 -2.681 -0.521 Pt
-4.397 -0.204 -4.548 Pt
```

Computed properties:
* ΔH_f (0 K): -0.450 eV per atom
* volume: 194.19 Å³/f.u.
* SG: I4/mcm, No. 140
* crystal system: tetragonal